(1)
A relaxed SiAg2Os crystal. Source: the Alexandria database, functional PBE-GGA.

Uncorrected formation energy ... 1.9 eV/f.u.

Cell lengths 3.761, 3.761, 4.382 Å; angles 90.00, 90.00, 90.00 degrees
Element x y z (fractional)
Ag: 0.500 0.500 0.000
Ag: 0.000 0.000 0.000
Os: 0.500 0.000 0.500
Si: 0.000 0.500 0.500

***

(2)
A relaxed SiAg2Os crystal. Source: the Alexandria database, functional PBE-GGA.

Uncorrected formation energy ... 2.4 eV/f.u.

Cell lengths 2.732, 4.463, 5.261 Å; angles 90.00, 90.00, 90.00 degrees
Element x y z (fractional)
Si: 0.500 0.500 0.750
Ag: 0.000 0.000 0.002
Ag: 0.000 0.000 0.498
Os: 0.500 0.500 0.250

***

(3)
A relaxed SiAg2Os crystal. Source: the Alexandria database, functional PBE-GGA.

Uncorrected formation energy ... 1.6 eV/f.u.

Cell lengths 4.373, 5.708, 2.877 Å; angles 75.71, 89.23, 112.31 degrees
Element x y z (fractional)
Si: 0.500 0.500 0.000
Os: 0.000 0.500 0.500
Ag: 0.500 0.000 0.500
Ag: 0.000 0.000 0.000

***

(4)
A relaxed Si2AgOs2 crystal. Source: the Alexandria database, functional PBE-GGA.

Uncorrected formation energy ... -0.2 eV/f.u.

Cell lengths 7.133, 7.133, 2.864 Å; angles 90.00, 90.00, 90.00 degrees
Element x y z (fractional)
Si: 0.149 0.649 0.500
Si: 0.351 0.149 0.500
Si: 0.851 0.351 0.500
Si: 0.649 0.851 0.500
Os: 0.645 0.145 0.000
Os: 0.145 0.355 0.000
Os: 0.855 0.645 0.000
Os: 0.355 0.855 0.000
Ag: 0.500 0.500 0.000
Ag: 0.000 0.000 0.000

***

(5)
A relaxed SiAg2Os crystal. Source: the Alexandria database, functional PBE-GGA.

Uncorrected formation energy ... 1.2 eV/f.u.

Cell lengths 6.405, 6.405, 6.405 Å; angles 154.12, 144.05, 44.83 degrees
Element x y z (fractional)
Si: 0.250 0.750 0.500
Ag: 0.441 0.441 0.000
Ag: 0.059 0.059 0.000
Os: 0.750 0.250 0.500

***

(6)
A relaxed SiAgOs2 crystal. Source: the Alexandria database, functional PBE-GGA.

Uncorrected formation energy ... 1.3 eV/f.u.

Cell lengths 3.875, 2.879, 5.570 Å; angles 72.29, 90.00, 90.00 degrees
Element x y z (fractional)
Ag: 0.500 0.750 0.750
Os: 0.000 0.110 0.028
Os: 0.000 0.390 0.472
Si: 0.500 0.250 0.250

***

(7)
A relaxed SiAgOs2 crystal. Source: the Alexandria database, functional PBE-GGA.

Uncorrected formation energy ... 1.0 eV/f.u.

Cell lengths 8.856, 8.856, 8.856 Å; angles 18.31, 18.31, 18.31 degrees
Element x y z (fractional)
Os: 0.993 0.993 0.993
Os: 0.247 0.247 0.247
Ag: 0.754 0.754 0.754
Si: 0.507 0.507 0.507

***

(8)
A relaxed SiAgOs2 crystal. Source: the Alexandria database, functional PBE-GGA.

Uncorrected formation energy ... 2.7 eV/f.u.

Cell lengths 4.381, 4.381, 4.381 Å; angles 60.00, 60.00, 60.00 degrees
Element x y z (fractional)
Ag: 0.500 0.500 0.500
Os: 0.000 0.000 0.000
Os: 0.250 0.250 0.250
Si: 0.750 0.750 0.750

***

(9)
A relaxed SiAg2Os crystal. Source: the Alexandria database, functional PBE-GGA.

Uncorrected formation energy ... 2.6 eV/f.u.

Cell lengths 2.699, 2.699, 8.944 Å; angles 90.00, 90.00, 90.00 degrees
Element x y z (fractional)
Ag: 0.000 0.000 0.001
Ag: 0.000 0.000 0.499
Os: 0.500 0.500 0.250
Si: 0.500 0.500 0.750

***

(10)
A relaxed SiAg3Os crystal. Source: the Alexandria database, functional PBE-GGA.

Uncorrected formation energy ... 6.9 eV/f.u.

Cell lengths 4.630, 4.630, 4.630 Å; angles 90.00, 90.00, 90.00 degrees
Element x y z (fractional)
Ag: 0.000 0.000 0.500
Ag: 0.500 0.000 0.000
Ag: 0.000 0.500 0.000
Os: 0.500 0.500 0.500
Si: 0.000 0.000 0.000

***

(11)
A relaxed SiAgOs2 crystal. Source: the Alexandria database, functional PBE-GGA.

Uncorrected formation energy ... 0.7 eV/f.u.

Cell lengths 8.878, 8.878, 8.878 Å; angles 18.12, 18.12, 18.12 degrees
Element x y z (fractional)
Ag: 0.750 0.750 0.750
Os: 0.512 0.512 0.512
Os: 0.988 0.988 0.988
Si: 0.250 0.250 0.250

***

(12)
A relaxed SiAgOs2 crystal. Source: the Alexandria database, functional PBE-GGA.

Uncorrected formation energy ... 2.3 eV/f.u.

Cell lengths 4.713, 4.713, 4.713 Å; angles 131.01, 131.01, 71.79 degrees
Element x y z (fractional)
Os: 0.000 0.000 0.000
Os: 0.250 0.750 0.500
Si: 0.500 0.500 0.000
Ag: 0.750 0.250 0.500

***

(13)
A relaxed SiAgOs2 crystal. Source: the Alexandria database, functional PBE-GGA.

Uncorrected formation energy ... 3.4 eV/f.u.

Cell lengths 3.957, 3.957, 9.424 Å; angles 77.88, 77.88, 90.00 degrees
Element x y z (fractional)
Ag: 0.000 0.000 0.000
Ag: 0.750 0.250 0.500
Os: 0.536 0.125 0.250
Os: 0.375 0.464 0.750
Os: 0.214 0.625 0.250
Os: 0.875 0.786 0.750
Si: 0.250 0.750 0.500
Si: 0.500 0.500 0.000

***

(14)
A relaxed SiAgOs crystal. Source: the Alexandria database, functional PBE-GGA.

Uncorrected formation energy ... 0.6 eV/f.u.

Cell lengths 5.414, 5.414, 5.414 Å; angles 147.33, 147.33, 46.88 degrees
Element x y z (fractional)
Ag: 0.006 0.006 0.000
Si: 0.694 0.694 0.000
Os: 0.300 0.300 0.000

***

(15)
A relaxed SiAgOs2 crystal. Source: the Alexandria database, functional PBE-GGA.

Uncorrected formation energy ... 1.3 eV/f.u.

Cell lengths 2.777, 2.777, 8.798 Å; angles 90.00, 90.00, 117.37 degrees
Element x y z (fractional)
Si: 0.500 0.500 0.250
Os: 0.000 0.000 0.036
Os: 0.000 0.000 0.464
Ag: 0.500 0.500 0.750

***

(16)
A relaxed SiAg2Os crystal. Source: the Alexandria database, functional PBE-GGA.

Uncorrected formation energy ... 1.4 eV/f.u.

Cell lengths 4.740, 4.740, 5.075 Å; angles 70.79, 70.79, 36.76 degrees
Element x y z (fractional)
Ag: 0.977 0.977 0.971
Ag: 0.747 0.747 0.771
Si: 0.247 0.247 0.348
Os: 0.528 0.528 0.410

***

(17)
A relaxed ZrSiAgOs2 crystal. Source: the Alexandria database, functional PBE-GGA.

Uncorrected formation energy ... 8.7 eV/f.u.

Cell lengths 4.868, 4.277, 4.868 Å; angles 90.00, 90.00, 90.00 degrees
Element x y z (fractional)
Os: 0.500 0.000 0.000
Os: 0.000 0.000 0.500
Zr: 0.500 0.500 0.500
Si: 0.000 0.500 0.000
Ag: 0.000 0.000 0.000

***

(18)
A relaxed Sm8Ag2Os crystal. Source: the Alexandria database, functional PBE-GGA.

Formation energy from the elements ... -0.11 eV per atom

Cell lengths 5.292, 7.017, 9.275 Å; angles 106.54, 106.58, 90.00 degrees
Element x y z (fractional)
Sm: 0.411 0.568 0.822
Sm: 0.341 0.028 0.682
Sm: 0.589 0.432 0.178
Sm: 0.026 0.794 0.052
Sm: 0.974 0.206 0.948
Sm: 0.800 0.691 0.600
Sm: 0.659 0.972 0.318
Sm: 0.200 0.309 0.400
Ag: 0.817 0.284 0.635
Ag: 0.183 0.716 0.365
Os: 0.500 0.000 0.000

***

(19)
A relaxed Sm6AgOs2 crystal. Source: the Alexandria database, functional PBE-GGA.

Formation energy from the elements ... -0.16 eV per atom

Cell lengths 8.625, 8.625, 8.625 Å; angles 104.81, 111.74, 111.96 degrees
Element x y z (fractional)
Os: 0.500 0.618 0.118
Os: 0.324 0.000 0.324
Os: 0.500 0.382 0.882
Os: 0.676 0.000 0.676
Sm: 0.540 0.723 0.818
Sm: 0.460 0.277 0.182
Sm: 0.905 0.723 0.182
Sm: 0.200 0.758 0.958
Sm: 0.200 0.242 0.443
Sm: 0.315 0.986 0.671
Sm: 0.315 0.645 0.329
Sm: 0.800 0.242 0.042
Sm: 0.800 0.758 0.557
Sm: 0.095 0.277 0.818
Sm: 0.685 0.355 0.671
Sm: 0.685 0.014 0.329
Ag: 0.000 0.500 0.500
Ag: 0.000 0.000 0.000

***

(20)
A relaxed Sm7Ag2Os2 crystal. Source: the Alexandria database, functional PBE-GGA.

Formation energy from the elements ... -0.08 eV per atom

Cell lengths 6.866, 7.145, 6.866 Å; angles 90.00, 107.18, 90.00 degrees
Element x y z (fractional)
Os: 0.707 0.000 0.293
Os: 0.293 0.000 0.707
Sm: 0.500 0.745 0.000
Sm: 0.500 0.755 0.500
Sm: 0.000 0.745 0.500
Sm: 0.000 0.255 0.500
Sm: 0.500 0.255 0.000
Sm: 0.500 0.245 0.500
Sm: 0.000 0.000 0.000
Ag: 0.174 0.500 0.174
Ag: 0.826 0.500 0.826

***

no.,DFT total energy (eV per atom)
1,-5.125
2,-4.992
3,-5.182
4,-7.280
5,-5.287
6,-7.353
7,-7.429
8,-7.013
9,-4.930
10,-3.662
11,-7.511
12,-7.114
13,-6.844
14,-6.287
15,-7.346
16,-5.248
17,-6.113
18,-5.085
19,-6.120
20,-5.645